# GGA-PBE Sr3PtO, optimized geometry
data_Sr3PtO
_symmetry_space_group_name_H-M 'P 1'
_symmetry_Int_Tables_number 1
_cell_length_a 5.038
_cell_length_b 5.038
_cell_length_c 5.038
_cell_angle_alpha 90.00
_cell_angle_beta 90.00
_cell_angle_gamma 90.00
loop_
_symmetry_equiv_pos_as_xyz
'x,y,z'
loop_
_atom_site_label
_atom_site_type_symbol
_atom_site_fract_x
_atom_site_fract_y
_atom_site_fract_z
Sr1 Sr 0.000 0.500 0.000
Sr2 Sr 0.500 0.000 0.000
Sr3 Sr 0.000 0.000 0.500
O1 O 0.000 0.000 0.000
Pt1 Pt 0.500 0.500 0.500
# **Raw formation energy**: -1.34 eV/atom
# **Size of the total moment**: 0.000 μB/cell
# **Calculated density**: 6.16 Mg/m³
# **Symmetry**: No. 221